# 1
An optimized crystal structure of NaBe3Pt, computed with PBE.

Output
DOS(E_F): 0.295 states/eV per atom
Crystal system: cubic
Formation energy from the elements: 155 kJ/mol of atoms

Cell lengths 4.069, 4.069, 4.069 Å; angles 90.00, 90.00, 90.00 degrees
Fractional positions:
Na 0.000 0.000 0.000
Be 0.000 0.000 0.500
Be 0.000 0.500 0.000
Be 0.500 0.000 0.000
Pt 0.500 0.500 0.500

---

# 2
An optimized crystal structure of NaBePt2, computed with PBE.

Output
DOS(E_F): 0.410 states/eV per atom
Crystal system: tetragonal
Formation energy from the elements: 2 kJ/mol of atoms

Cell lengths 4.950, 4.950, 14.601 Å; angles 90.00, 90.00, 90.00 degrees
Fractional positions:
Na 0.000 0.000 0.000
Na 0.000 0.500 0.250
Na 0.500 0.000 0.750
Na 0.500 0.500 0.500
Be 0.000 0.000 0.500
Be 0.000 0.500 0.750
Be 0.500 0.000 0.250
Be 0.500 0.500 0.000
Pt 0.058 0.250 0.625
Pt 0.250 0.558 0.875
Pt 0.250 0.942 0.375
Pt 0.442 0.250 0.125
Pt 0.558 0.750 0.125
Pt 0.750 0.058 0.375
Pt 0.750 0.442 0.875
Pt 0.942 0.750 0.625

---

# 3
An optimized crystal structure of NaBe2Pt, computed with PBE.

Output
DOS(E_F): 0.215 states/eV per atom
Crystal system: tetragonal
Formation energy from the elements: 3 kJ/mol of atoms

Cell lengths 4.480, 4.480, 15.008 Å; angles 90.00, 90.00, 90.00 degrees
Fractional positions:
Na 0.000 0.250 0.375
Na 0.000 0.750 0.625
Na 0.500 0.250 0.125
Na 0.500 0.750 0.875
Be 0.000 0.000 0.000
Be 0.000 0.500 0.000
Be 0.250 0.250 0.750
Be 0.250 0.750 0.250
Be 0.500 0.000 0.500
Be 0.500 0.500 0.500
Be 0.750 0.250 0.750
Be 0.750 0.750 0.250
Pt 0.000 0.250 0.875
Pt 0.000 0.750 0.125
Pt 0.500 0.250 0.625
Pt 0.500 0.750 0.375

---

# 4
An optimized crystal structure of NaBe4Pt5, computed with PBE.

Output
DOS(E_F): 0.210 states/eV per atom
Crystal system: tetragonal
Formation energy from the elements: -65 kJ/mol of atoms

Cell lengths 2.818, 2.818, 16.250 Å; angles 90.00, 90.00, 90.00 degrees
Fractional positions:
Na 0.000 0.000 0.000
Be 0.000 0.000 0.224
Be 0.000 0.000 0.409
Be 0.000 0.000 0.591
Be 0.000 0.000 0.776
Pt 0.500 0.500 0.146
Pt 0.500 0.500 0.324
Pt 0.500 0.500 0.500
Pt 0.500 0.500 0.676
Pt 0.500 0.500 0.854

---

# 5
An optimized crystal structure of NaBe2Pt2, computed with PBE.

Output
DOS(E_F): 0.196 states/eV per atom
Crystal system: tetragonal
Formation energy from the elements: -39 kJ/mol of atoms

Cell lengths 3.773, 3.773, 10.569 Å; angles 90.00, 90.00, 90.00 degrees
Fractional positions:
Na 0.000 0.000 0.000
Na 0.500 0.500 0.500
Be 0.000 0.500 0.250
Be 0.000 0.500 0.750
Be 0.500 0.000 0.250
Be 0.500 0.000 0.750
Pt 0.000 0.000 0.372
Pt 0.000 0.000 0.628
Pt 0.500 0.500 0.128
Pt 0.500 0.500 0.872

---

# 6
An optimized crystal structure of Na3BePt, computed with PBE.

Output
DOS(E_F): 0.739 states/eV per atom
Crystal system: cubic
Formation energy from the elements: 63 kJ/mol of atoms

Cell lengths 5.432, 5.432, 5.432 Å; angles 90.00, 90.00, 90.00 degrees
Fractional positions:
Na 0.000 0.000 0.500
Na 0.000 0.500 0.000
Na 0.500 0.000 0.000
Be 0.500 0.500 0.500
Pt 0.000 0.000 0.000

---

# 7
An optimized crystal structure of NaBe2Pt2, computed with PBE.

Output
DOS(E_F): 0.210 states/eV per atom
Crystal system: tetragonal
Formation energy from the elements: -52 kJ/mol of atoms

Cell lengths 6.923, 6.923, 2.753 Å; angles 90.00, 90.00, 90.00 degrees
Fractional positions:
Na 0.000 0.000 0.000
Na 0.500 0.500 0.000
Be 0.128 0.372 0.000
Be 0.372 0.872 0.000
Be 0.628 0.128 0.000
Be 0.872 0.628 0.000
Pt 0.159 0.659 0.500
Pt 0.341 0.159 0.500
Pt 0.659 0.841 0.500
Pt 0.841 0.341 0.500

---

# 8
An optimized crystal structure of NaBe3Pt, computed with PBE.

Output
DOS(E_F): 0.304 states/eV per atom
Crystal system: cubic
Formation energy from the elements: -1 kJ/mol of atoms

Cell lengths 4.349, 4.349, 4.349 Å; angles 90.00, 90.00, 90.00 degrees
Fractional positions:
Na 0.000 0.000 0.000
Be 0.000 0.500 0.500
Be 0.500 0.000 0.500
Be 0.500 0.500 0.000
Pt 0.500 0.500 0.500

---

# 9
An optimized crystal structure of NaBePt, computed with PBE.

Output
DOS(E_F): 0.201 states/eV per atom
Crystal system: monoclinic
Formation energy from the elements: -35 kJ/mol of atoms

Cell lengths 4.987, 4.030, 5.428 Å; angles 90.00, 107.75, 90.00 degrees
Fractional positions:
Na 0.244 0.250 0.006
Na 0.756 0.750 0.994
Be 0.398 0.250 0.532
Be 0.602 0.750 0.468
Pt 0.186 0.750 0.540
Pt 0.814 0.250 0.460

---

# 10
An optimized crystal structure of NaBePt2, computed with PBE.

Output
DOS(E_F): 0.323 states/eV per atom
Crystal system: tetragonal
Formation energy from the elements: -45 kJ/mol of atoms

Cell lengths 2.775, 2.775, 7.704 Å; angles 90.00, 90.00, 90.00 degrees
Fractional positions:
Na 0.000 0.000 0.000
Be 0.000 0.000 0.500
Pt 0.500 0.500 0.309
Pt 0.500 0.500 0.691

---

# 11
An optimized crystal structure of NaBe2Pt, computed with PBE.

Output
DOS(E_F): 0.385 states/eV per atom
Crystal system: cubic
Formation energy from the elements: -2 kJ/mol of atoms

Cell lengths 5.869, 5.869, 5.869 Å; angles 90.00, 90.00, 90.00 degrees
Fractional positions:
Na 0.000 0.000 0.000
Na 0.000 0.500 0.500
Na 0.500 0.000 0.500
Na 0.500 0.500 0.000
Be 0.250 0.250 0.250
Be 0.250 0.250 0.750
Be 0.250 0.750 0.250
Be 0.250 0.750 0.750
Be 0.750 0.250 0.250
Be 0.750 0.250 0.750
Be 0.750 0.750 0.250
Be 0.750 0.750 0.750
Pt 0.000 0.000 0.500
Pt 0.000 0.500 0.000
Pt 0.500 0.000 0.000
Pt 0.500 0.500 0.500

---

# 12
An optimized crystal structure of Na2Be2SnPt5, computed with PBE.

Output
DOS(E_F): 0.382 states/eV per atom
Crystal system: tetragonal
Formation energy from the elements: -49 kJ/mol of atoms

Cell lengths 9.575, 9.575, 3.427 Å; angles 90.00, 90.00, 90.00 degrees
Fractional positions:
Na 0.176 0.324 0.000
Na 0.324 0.824 0.000
Na 0.676 0.176 0.000
Na 0.824 0.676 0.000
Be 0.121 0.621 0.000
Be 0.379 0.121 0.000
Be 0.621 0.879 0.000
Be 0.879 0.379 0.000
Sn 0.000 0.000 0.000
Sn 0.500 0.500 0.000
Pt 0.000 0.500 0.500
Pt 0.069 0.780 0.500
Pt 0.220 0.069 0.500
Pt 0.280 0.569 0.500
Pt 0.431 0.280 0.500
Pt 0.500 0.000 0.500
Pt 0.569 0.720 0.500
Pt 0.720 0.431 0.500
Pt 0.780 0.931 0.500
Pt 0.931 0.220 0.500

---

# 13
An optimized crystal structure of NaSrBePt2, computed with PBE.

Output
DOS(E_F): 0.458 states/eV per atom
Crystal system: tetragonal
Formation energy from the elements: -37 kJ/mol of atoms

Cell lengths 4.473, 4.473, 4.816 Å; angles 90.00, 90.00, 90.00 degrees
Fractional positions:
Na 0.000 0.000 0.000
Sr 0.500 0.500 0.000
Be 0.000 0.000 0.500
Pt 0.000 0.500 0.500
Pt 0.500 0.000 0.500

---

# 14
An optimized crystal structure of NaSr2BePt, computed with PBE.

Output
DOS(E_F): 0.892 states/eV per atom
Crystal system: tetragonal
Formation energy from the elements: -20 kJ/mol of atoms

Cell lengths 5.955, 5.955, 4.508 Å; angles 90.00, 90.00, 90.00 degrees
Fractional positions:
Na 0.000 0.000 0.000
Sr 0.000 0.500 0.500
Sr 0.500 0.000 0.500
Be 0.500 0.500 0.000
Pt 0.500 0.500 0.500

---

# 15
An optimized crystal structure of NaTaBePt2, computed with PBE.

Output
DOS(E_F): 1.063 states/eV per atom
Crystal system: tetragonal
Formation energy from the elements: 127 kJ/mol of atoms

Cell lengths 4.628, 4.628, 3.900 Å; angles 90.00, 90.00, 90.00 degrees
Fractional positions:
Na 0.000 0.000 0.000
Ta 0.500 0.500 0.500
Be 0.000 0.000 0.500
Pt 0.000 0.500 0.000
Pt 0.500 0.000 0.000

---

# 16
An optimized crystal structure of Na2ZrBePt, computed with PBE.

Output
DOS(E_F): 1.419 states/eV per atom
Crystal system: tetragonal
Formation energy from the elements: 140 kJ/mol of atoms

Cell lengths 7.233, 7.233, 5.011 Å; angles 90.00, 90.00, 90.00 degrees
Fractional positions:
Na 0.000 0.500 0.000
Na 0.500 0.000 0.000
Zr 0.000 0.000 0.000
Be 0.500 0.500 0.500
Pt 0.000 0.000 0.500

---

# 17
An optimized crystal structure of Na4Pu3BeS8, computed with PBE.

Output
DOS(E_F): 1.618 states/eV per atom
Crystal system: monoclinic
Formation energy from raw total energies: -1.30 eV per atom

Cell lengths 7.908, 7.908, 7.996 Å; angles 119.36, 119.36, 58.94 degrees
Fractional positions:
Na 0.000 0.000 0.000
Na 0.000 0.500 0.000
Na 0.500 0.000 0.000
Na 0.500 0.500 0.000
Pu 0.000 0.000 0.500
Pu 0.000 0.500 0.500
Pu 0.500 0.000 0.500
Be 0.500 0.500 0.500
S 0.241 0.241 0.728
S 0.244 0.244 0.261
S 0.271 0.710 0.699
S 0.290 0.729 0.301
S 0.710 0.271 0.699
S 0.729 0.290 0.301
S 0.756 0.756 0.739
S 0.759 0.759 0.272

---

# 18
An optimized crystal structure of Na3Pu2BeSe6, computed with PBE.

Output
DOS(E_F): 1.617 states/eV per atom
Crystal system: monoclinic
Formation energy from raw total energies: -1.09 eV per atom

Cell lengths 7.060, 7.060, 7.310 Å; angles 98.95, 98.95, 121.17 degrees
Fractional positions:
Na 0.000 0.000 0.000
Na 0.331 0.669 0.000
Na 0.669 0.331 0.000
Pu 0.167 0.833 0.500
Pu 0.833 0.167 0.500
Be 0.500 0.500 0.500
Se 0.101 0.424 0.274
Se 0.282 0.282 0.699
Se 0.424 0.101 0.274
Se 0.576 0.899 0.726
Se 0.718 0.718 0.301
Se 0.899 0.576 0.726

---

# 19
An optimized crystal structure of Na3Pu3BeSe8, computed with PBE.

Output
DOS(E_F): 1.911 states/eV per atom
Crystal system: monoclinic
Formation energy from raw total energies: -1.11 eV per atom

Cell lengths 8.142, 8.142, 8.436 Å; angles 118.91, 118.91, 59.96 degrees
Fractional positions:
Na 0.000 0.000 0.000
Na 0.000 0.500 0.000
Na 0.500 0.000 0.000
Pu 0.000 0.500 0.500
Pu 0.500 0.000 0.500
Pu 0.500 0.500 0.500
Be 0.000 0.000 0.500
Se 0.223 0.223 0.707
Se 0.223 0.762 0.707
Se 0.238 0.777 0.293
Se 0.256 0.256 0.268
Se 0.744 0.744 0.732
Se 0.762 0.223 0.707
Se 0.777 0.238 0.293
Se 0.777 0.777 0.293

---

# 20
An optimized crystal structure of RbNaBe3, computed with PBE.

Output
DOS(E_F): 0.761 states/eV per atom
Crystal system: cubic
Formation energy from the elements: 195 kJ/mol of atoms

Cell lengths 5.948, 5.948, 5.948 Å; angles 90.00, 90.00, 90.00 degrees
Fractional positions:
Rb 0.000 0.000 0.000
Na 0.500 0.500 0.500
Be 0.000 0.000 0.500
Be 0.000 0.500 0.000
Be 0.500 0.000 0.000

---

# 21
An optimized crystal structure of RbNaBe3, computed with PBE.

Output
DOS(E_F): 0.837 states/eV per atom
Crystal system: cubic
Formation energy from the elements: 151 kJ/mol of atoms

Cell lengths 5.244, 5.244, 5.244 Å; angles 90.00, 90.00, 90.00 degrees
Fractional positions:
Rb 0.000 0.000 0.000
Na 0.500 0.500 0.500
Be 0.000 0.500 0.500
Be 0.500 0.000 0.500
Be 0.500 0.500 0.000

---

# 22
An optimized crystal structure of RbNaBeS2, computed with PBE.

Output
DOS(E_F): 0.000 states/eV per atom
Crystal system: monoclinic
Formation energy from raw total energies: -1.00 eV per atom

Cell lengths 7.247, 5.213, 7.869 Å; angles 90.00, 103.11, 90.00 degrees
Fractional positions:
Rb 0.000 0.237 0.250
Rb 0.000 0.763 0.750
Na 0.500 0.484 0.750
Na 0.500 0.516 0.250
Be 0.500 0.000 0.000
Be 0.500 0.000 0.500
S 0.293 0.227 0.963
S 0.293 0.773 0.463
S 0.707 0.227 0.537
S 0.707 0.773 0.037

---

# 23
An optimized crystal structure of Rb2NaBeSb2, computed with PBE.

Output
DOS(E_F): 0.845 states/eV per atom
Crystal system: orthorhombic
Formation energy from raw total energies: -0.23 eV per atom

Cell lengths 9.436, 9.436, 9.436 Å; angles 134.19, 64.58, 137.07 degrees
Fractional positions:
Rb 0.169 0.241 0.410
Rb 0.331 0.741 0.073
Rb 0.669 0.259 0.927
Rb 0.831 0.759 0.590
Na 0.250 0.250 0.000
Na 0.750 0.750 0.000
Be 0.250 0.750 0.500
Be 0.750 0.250 0.500
Sb 0.084 0.690 0.773
Sb 0.416 0.190 0.606
Sb 0.584 0.810 0.394
Sb 0.916 0.310 0.227

---

# 24
An optimized crystal structure of RbNaBe2Tc, computed with PBE.

Output
DOS(E_F): 0.611 states/eV per atom
Crystal system: tetragonal
Formation energy from the elements: 239 kJ/mol of atoms

Cell lengths 5.063, 5.063, 5.001 Å; angles 90.00, 90.00, 90.00 degrees
Fractional positions:
Rb 0.000 0.000 0.000
Na 0.000 0.000 0.500
Be 0.000 0.500 0.000
Be 0.500 0.000 0.000
Tc 0.500 0.500 0.500

---

# 25
An optimized crystal structure of RbNa2BeW, computed with PBE.

Output
DOS(E_F): 0.864 states/eV per atom
Crystal system: tetragonal
Formation energy from the elements: 190 kJ/mol of atoms

Cell lengths 6.058, 6.058, 6.887 Å; angles 90.00, 90.00, 90.00 degrees
Fractional positions:
Rb 0.000 0.000 0.000
Na 0.000 0.500 0.500
Na 0.500 0.000 0.500
Be 0.500 0.500 0.000
W 0.000 0.000 0.500